CsAlCo2F8 after structural relaxation. Source: the Alexandria database, functional GGA+U.

It has space group P-1 (No. 2), with a = 4.641 Å, b = 4.649 Å, c = 9.055 Å, α = 94.71°, β = 92.25° and γ = 90.45°. The inequivalent atoms are Cs at (0.000, 0.000, 0.000), Al at (0.000, 0.000, 0.500), Co at (0.492, 0.527, 0.670), F at (0.171, 0.189, 0.360), F at (0.194, 0.211, 0.653), F at (0.294, 0.726, 0.494) and F at (0.479, 0.666, 0.868).

The value obtained for the total energy is -61.62 eV/cell. The value obtained for the density of states at the Fermi level is 0.000 states/eV per atom. Its size of the total moment is 6.0 μB per cell. The calculated volume comes out at 194.55 Å³ per cell.